[1]
A relaxed Tm2PH crystal. Source: the Alexandria database, functional PBE.

Results
**Energy relative to the lowest polymorph listed for this composition**: 98 meV per atom
**E_tot**: -5.129 eV per atom
**Symmetry**: R-3m (166)

Lattice parameters (Å, degrees): 3.953 3.953 20.745 90.00 90.00 120.00
Fractional coordinates of all 12 atoms:
Tm 0.000 0.000 0.096
Tm 0.000 0.000 0.904
Tm 0.333 0.667 0.571
Tm 0.333 0.667 0.763
Tm 0.667 0.333 0.237
Tm 0.667 0.333 0.429
P 0.000 0.000 0.500
P 0.333 0.667 0.167
P 0.667 0.333 0.833
H 0.000 0.000 0.000
H 0.333 0.667 0.667
H 0.667 0.333 0.333


[2]
A relaxed Tm2PH crystal. Source: the Alexandria database, functional PBE.

Results
**Energy relative to the lowest polymorph listed for this composition**: 0 meV per atom
**E_tot**: -5.227 eV per atom
**Symmetry**: R3m (160)

Lattice parameters (Å, degrees): 3.763 3.763 20.260 90.00 90.00 120.00
Fractional coordinates of all 12 atoms:
Tm 0.000 0.000 0.000
Tm 0.000 0.000 0.175
Tm 0.333 0.667 0.667
Tm 0.333 0.667 0.842
Tm 0.667 0.333 0.333
Tm 0.667 0.333 0.508
P 0.000 0.000 0.592
P 0.333 0.667 0.258
P 0.667 0.333 0.925
H 0.000 0.000 0.818
H 0.333 0.667 0.485
H 0.667 0.333 0.151


[3]
A relaxed UPH crystal. Source: the Alexandria database, functional PBE.

Results
**Energy relative to the lowest polymorph listed for this composition**: 481 meV per atom
**E_tot**: -6.897 eV per atom
**Symmetry**: F-43m (216)

Lattice parameters (Å, degrees): 6.077 6.077 6.077 90.00 90.00 90.00
Fractional coordinates of all 12 atoms:
U 0.000 0.000 0.000
U 0.000 0.500 0.500
U 0.500 0.000 0.500
U 0.500 0.500 0.000
P 0.250 0.250 0.250
P 0.250 0.750 0.750
P 0.750 0.250 0.750
P 0.750 0.750 0.250
H 0.250 0.250 0.750
H 0.250 0.750 0.250
H 0.750 0.250 0.250
H 0.750 0.750 0.750


[4]
A relaxed UPH crystal. Source: the Alexandria database, functional PBE.

Results
**Energy relative to the lowest polymorph listed for this composition**: 451 meV per atom
**E_tot**: -6.927 eV per atom
**Symmetry**: I4mm (107)

Lattice parameters (Å, degrees): 3.514 3.514 7.574 90.00 90.00 90.00
Fractional coordinates of all 6 atoms:
U 0.000 0.000 0.000
U 0.500 0.500 0.500
P 0.000 0.000 0.645
P 0.500 0.500 0.145
H 0.000 0.000 0.321
H 0.500 0.500 0.821


[5]
A relaxed U2PH4 crystal. Source: the Alexandria database, functional PBE.

Results
**E_tot**: -6.392 eV per atom
**Symmetry**: R-3m (166)

Lattice parameters (Å, degrees): 7.153 7.153 7.153 30.41 30.41 30.41
Fractional coordinates of all 7 atoms:
U 0.246 0.246 0.246
U 0.754 0.754 0.754
P 0.000 0.000 0.000
H 0.134 0.134 0.134
H 0.435 0.435 0.435
H 0.565 0.565 0.565
H 0.866 0.866 0.866


[6]
A relaxed U3PH crystal. Source: the Alexandria database, functional PBE.

Results
**E_tot**: -8.814 eV per atom
**Symmetry**: R-3c (167)

Lattice parameters (Å, degrees): 5.550 5.550 5.550 78.63 78.63 78.63
Fractional coordinates of all 10 atoms:
U 0.156 0.750 0.344
U 0.250 0.656 0.844
U 0.344 0.156 0.750
U 0.656 0.844 0.250
U 0.750 0.344 0.156
U 0.844 0.250 0.656
P 0.250 0.250 0.250
P 0.750 0.750 0.750
H 0.000 0.000 0.000
H 0.500 0.500 0.500


[7]
A relaxed UPH crystal. Source: the Alexandria database, functional PBE.

Results
**Energy relative to the lowest polymorph listed for this composition**: 74 meV per atom
**E_tot**: -7.304 eV per atom
**Symmetry**: R3m (160)

Lattice parameters (Å, degrees): 3.794 3.794 10.516 90.00 90.00 120.00
Fractional coordinates of all 9 atoms:
U 0.000 0.000 0.000
U 0.333 0.667 0.667
U 0.667 0.333 0.333
P 0.000 0.000 0.495
P 0.333 0.667 0.162
P 0.667 0.333 0.828
H 0.000 0.000 0.712
H 0.333 0.667 0.378
H 0.667 0.333 0.045


[8]
A relaxed UPH crystal. Source: the Alexandria database, functional PBE.

Results
**Energy relative to the lowest polymorph listed for this composition**: 508 meV per atom
**E_tot**: -6.869 eV per atom
**Symmetry**: C2/m (12)

Lattice parameters (Å, degrees): 6.432 3.728 7.215 90.00 93.89 90.00
Fractional coordinates of all 12 atoms:
U 0.155 0.000 0.401
U 0.345 0.500 0.599
U 0.655 0.500 0.401
U 0.845 0.000 0.599
P 0.013 0.500 0.845
P 0.487 0.000 0.155
P 0.513 0.000 0.845
P 0.987 0.500 0.155
H 0.245 0.500 0.885
H 0.255 0.000 0.115
H 0.745 0.000 0.885
H 0.755 0.500 0.115